Record 1
Compound: LaTiSe3
Source: Alexandria via LeMat-Bulk
Functional: PBE-GGA
Structure: optimized geometry

Cell and atoms, written as extended XYZ:
```
20
Lattice="8.351 0.000 0.000 0.000 3.948 0.000 0.000 0.000 14.056" Properties=species:S:1:pos:R:3 pbc="T T T"
La 0.702 0.987 2.397
La 3.473 2.961 9.425
La 4.878 0.987 4.631
La 7.648 2.961 11.659
Ti 1.203 2.961 6.359
Ti 2.972 0.987 13.387
Ti 5.379 2.961 0.669
Ti 7.147 0.987 7.697
Se 0.221 2.961 8.666
Se 1.345 2.961 0.097
Se 1.668 0.987 11.100
Se 2.508 2.961 4.072
Se 2.830 0.987 7.125
Se 3.954 0.987 1.638
Se 4.397 2.961 12.418
Se 5.520 2.961 6.931
Se 5.843 0.987 9.984
Se 6.683 2.961 2.956
Se 7.006 0.987 13.959
Se 8.129 0.987 5.390
```

As for the magnetization: 0.8 μB per formula unit. The energy above the lowest structure with this stoichiometry comes out at 0.0 meV/atom. For the formation energy without anion corrections, the calculation gives -1.5799 eV/atom. As for the crystal system: orthorhombic.


Record 2
Compound: AlZnNiOs
Source: Alexandria via LeMat-Bulk
Functional: PBE-GGA
Structure: optimized geometry

Cell and atoms, written as extended XYZ:
```
16
Lattice="5.941 0.000 0.000 0.000 5.941 0.000 0.000 0.000 5.941" Properties=species:S:1:pos:R:3 pbc="T T T"
Al 0.000 0.000 0.000
Al 0.000 2.971 2.971
Al 2.971 0.000 2.971
Al 2.971 2.971 0.000
Zn 0.000 0.000 2.971
Zn 0.000 2.971 0.000
Zn 2.971 0.000 0.000
Zn 2.971 2.971 2.971
Ni 1.485 1.485 4.456
Ni 1.485 4.456 1.485
Ni 4.456 1.485 1.485
Ni 4.456 4.456 4.456
Os 1.485 1.485 1.485
Os 1.485 4.456 4.456
Os 4.456 1.485 4.456
Os 4.456 4.456 1.485
```

As for the magnetization: 0.0 μB per formula unit. As for the formation enthalpy at 0 K: -0.21 eV/atom. As for the crystal system: cubic.


Record 3
Compound: ReIr2Cl
Source: Alexandria via LeMat-Bulk
Functional: PBE-GGA
Structure: optimized geometry

Cell and atoms, written as extended XYZ:
```
4
Lattice="2.833 0.000 0.000 0.000 2.833 0.000 0.000 0.000 7.817" Properties=species:S:1:pos:R:3 pbc="T T T"
Re 0.000 0.000 0.000
Ir 1.417 1.417 1.777
Ir 1.417 1.417 6.040
Cl 0.000 0.000 3.908
```

As for the magnetization: 0.0 μB per formula unit. The energy above the lowest structure with this stoichiometry comes out at 26.9 meV/atom. For the formation energy without anion corrections, the calculation gives 0.3190 eV/atom. As for the crystal system: tetragonal.


Record 4
Compound: Ni8BP2
Source: Alexandria via LeMat-Bulk
Functional: PBE-GGA
Structure: optimized geometry

Cell and atoms, written as extended XYZ:
```
11
Lattice="6.473 -1.842 0.000 6.473 1.842 0.000 -1.669 0.000 4.800" Properties=species:S:1:pos:R:3 pbc="T T T"
Ni -0.173 0.000 1.407
Ni 1.305 0.000 3.851
Ni 3.521 0.000 2.581
Ni 5.161 0.000 0.346
Ni 6.116 0.000 4.455
Ni 7.756 0.000 2.220
Ni 9.972 0.000 0.949
Ni 11.450 0.000 3.393
B 5.639 0.000 2.400
P 1.947 0.000 0.944
P 9.330 0.000 3.857
```

As for the magnetization: 0.0 μB per formula unit. As for the formation enthalpy at 0 K: -0.34 eV/atom. The energy above the lowest structure with this stoichiometry comes out at 0.0 meV/atom. As for the crystal system: monoclinic.


Record 5
Compound: Sr2La2Mn
Source: Alexandria via LeMat-Bulk
Functional: PBE-GGA
Structure: optimized geometry

Cell and atoms, written as extended XYZ:
```
10
Lattice="7.592 0.000 0.000 0.000 7.592 0.000 0.000 0.000 6.576" Properties=species:S:1:pos:R:3 pbc="T T T"
Sr 1.356 2.440 0.000
Sr 2.440 6.237 0.000
Sr 5.152 1.356 0.000
Sr 6.237 5.152 0.000
La 1.280 5.077 3.288
La 2.516 1.280 3.288
La 5.077 6.312 3.288
La 6.312 2.516 3.288
Mn 0.000 0.000 3.288
Mn 3.796 3.796 3.288
```

As for the magnetization: 1.4 μB per formula unit. As for the formation enthalpy at 0 K: 0.36 eV/atom. As for the crystal system: tetragonal.


Record 6
Compound: Zr4Co4Ge7
Source: Alexandria via LeMat-Bulk
Functional: PBE-GGA
Structure: optimized geometry

Cell and atoms, written as extended XYZ:
```
30
Lattice="-6.640 6.640 2.620 6.640 -6.640 2.620 6.640 6.640 -2.620" Properties=species:S:1:pos:R:3 pbc="T T T"
Zr 2.601 0.000 0.000
Zr 10.678 0.000 0.000
Zr 0.000 2.601 0.000
Zr 4.796 4.796 0.000
Zr 1.843 -1.843 2.620
Zr -1.843 1.843 2.620
Zr 1.843 1.843 2.620
Zr 0.000 10.678 0.000
Co 4.669 -1.971 1.310
Co 8.610 -1.971 1.310
Co 4.669 1.971 1.310
Co 8.610 1.971 1.310
Co -1.971 4.669 1.310
Co 1.971 4.669 1.310
Co -1.971 8.610 1.310
Co 1.971 8.610 1.310
Ge 5.391 0.000 0.000
Ge 7.888 0.000 0.000
Ge 6.640 2.745 0.000
Ge 2.762 2.762 0.000
Ge 3.877 -3.877 2.620
Ge 0.000 0.000 1.314
Ge 0.000 5.391 0.000
Ge 2.745 6.640 0.000
Ge 3.895 0.000 2.620
Ge 0.000 7.888 0.000
Ge 0.000 0.000 3.925
Ge -3.877 3.877 2.620
Ge 3.877 3.877 2.620
Ge 0.000 3.895 2.620
```

As for the magnetization: 0.0 μB per formula unit. As for the formation enthalpy at 0 K: -0.62 eV/atom. As for the crystal system: tetragonal.


Record 7
Compound: SrAl2Pd6
Source: Alexandria via LeMat-Bulk
Functional: PBE-GGA
Structure: optimized geometry

Cell and atoms, written as extended XYZ:
```
18
Lattice="0.000 5.718 5.718 5.718 0.000 5.718 5.718 5.718 0.000" Properties=species:S:1:pos:R:3 pbc="T T T"
Sr 1.429 1.429 1.429
Sr 10.006 10.006 10.006
Al 5.718 2.859 2.859
Al 2.859 5.718 2.859
Al 2.859 2.859 5.718
Al 5.718 5.718 5.718
Pd 4.288 4.288 1.512
Pd 4.288 1.512 4.288
Pd 7.064 4.288 4.288
Pd 7.147 7.147 4.371
Pd 7.147 4.371 7.147
Pd 9.923 7.147 7.147
Pd 1.512 4.288 4.288
Pd 4.288 7.064 4.288
Pd 4.288 4.288 7.064
Pd 4.371 7.147 7.147
Pd 7.147 9.923 7.147
Pd 7.147 7.147 9.923
```

As for the magnetization: 0.0 μB per formula unit. As for the formation enthalpy at 0 K: -0.32 eV/atom. As for the crystal system: cubic.


Record 8
Compound: CrCo2Ge2
Source: Alexandria via LeMat-Bulk
Functional: PBE-GGA
Structure: optimized geometry

Cell and atoms, written as extended XYZ:
```
10
Lattice="6.845 0.000 0.000 0.000 6.845 0.000 0.000 0.000 2.662" Properties=species:S:1:pos:R:3 pbc="T T T"
Cr 0.000 0.000 0.000
Cr 3.422 3.422 0.000
Co 0.989 2.433 1.331
Co 2.433 5.856 1.331
Co 4.412 0.989 1.331
Co 5.856 4.412 1.331
Ge 1.053 4.476 0.000
Ge 2.369 1.053 0.000
Ge 4.476 5.791 0.000
Ge 5.791 2.369 0.000
```

As for the magnetization: 1.5 μB per formula unit. As for the formation enthalpy at 0 K: 0.02 eV/atom. As for the crystal system: tetragonal.


Record 9
Compound: SrCu2Pd2
Source: Alexandria via LeMat-Bulk
Functional: PBE-GGA
Structure: optimized geometry

Cell and atoms, written as extended XYZ:
```
10
Lattice="4.300 0.000 0.000 0.000 4.300 0.000 0.000 0.000 10.251" Properties=species:S:1:pos:R:3 pbc="T T T"
Sr 0.000 0.000 0.000
Sr 2.150 2.150 5.126
Cu 0.000 0.000 3.943
Cu 0.000 0.000 6.308
Cu 2.150 2.150 1.183
Cu 2.150 2.150 9.068
Pd 0.000 2.150 2.563
Pd 0.000 2.150 7.688
Pd 2.150 0.000 2.563
Pd 2.150 0.000 7.688
```

As for the magnetization: 0.0 μB per formula unit. As for the formation enthalpy at 0 K: -0.27 eV/atom. The energy above the lowest structure with this stoichiometry comes out at 0.0 meV/atom. As for the crystal system: tetragonal.


Record 10
Compound: TmHfZn4
Source: Alexandria via LeMat-Bulk
Functional: PBE-GGA
Structure: optimized geometry

Cell and atoms, written as extended XYZ:
```
6
Lattice="3.233 0.000 0.000 0.000 4.400 0.000 0.000 0.000 7.611" Properties=species:S:1:pos:R:3 pbc="T T T"
Tm 0.000 0.000 0.000
Hf 0.000 2.200 3.805
Zn 1.617 0.000 2.574
Zn 1.617 0.000 5.036
Zn 1.617 2.200 1.321
Zn 1.617 2.200 6.289
```

As for the magnetization: 0.0 μB per formula unit. As for the formation enthalpy at 0 K: -0.28 eV/atom. The energy above the lowest structure with this stoichiometry comes out at 0.0 meV/atom. As for the crystal system: orthorhombic.


Record 11
Compound: CeTmPa
Source: Alexandria via LeMat-Bulk
Functional: PBE-GGA
Structure: optimized geometry

Cell and atoms, written as extended XYZ:
```
3
Lattice="5.329 0.000 0.000 -2.664 4.615 0.000 0.000 0.000 3.321" Properties=species:S:1:pos:R:3 pbc="T T T"
Ce 0.000 0.000 0.000
Tm 0.000 3.077 1.661
Pa 2.664 1.538 0.000
```

As for the magnetization: 0.0 μB per formula unit. As for the formation enthalpy at 0 K: 0.19 eV/atom. The energy above the lowest structure with this stoichiometry comes out at 126.7 meV/atom. As for the crystal system: hexagonal.


Record 12
Compound: RbSbPd2Ru
Source: Alexandria via LeMat-Bulk
Functional: PBE-GGA
Structure: optimized geometry

Cell and atoms, written as extended XYZ:
```
5
Lattice="5.045 0.000 0.000 0.000 5.045 0.000 0.000 0.000 4.982" Properties=species:S:1:pos:R:3 pbc="T T T"
Rb 0.000 0.000 0.000
Sb 2.522 2.522 2.491
Pd 0.000 2.522 0.000
Pd 2.522 0.000 0.000
Ru 0.000 0.000 2.491
```

As for the magnetization: 1.4 μB per formula unit. For the formation energy without anion corrections, the calculation gives 1.8675 eV/atom. As for the crystal system: tetragonal.


Record 13
Compound: K3Pr3ThSe8
Source: Alexandria via LeMat-Bulk
Functional: PBE-GGA
Structure: optimized geometry

Cell and atoms, written as extended XYZ:
```
15
Lattice="4.358 2.516 7.810 -4.358 2.516 7.810 0.000 -5.033 7.810" Properties=species:S:1:pos:R:3 pbc="T T T"
K -2.179 -1.258 7.810
K -2.179 1.258 15.620
K 0.000 2.516 7.810
Pr -4.358 0.000 11.715
Pr -2.179 1.258 3.905
Pr 2.179 1.258 3.905
Th 0.000 0.000 11.715
Se 0.000 0.000 5.553
Se -2.130 -1.230 13.317
Se 0.000 -2.460 10.113
Se -2.130 1.230 10.113
Se 2.130 -1.230 13.317
Se 0.000 2.460 13.317
Se 2.130 1.230 10.113
Se 0.000 0.000 17.877
```

As for the magnetization: 0.0 μB per formula unit. For the formation energy without anion corrections, the calculation gives -1.7505 eV/atom. As for the crystal system: trigonal.


Record 14
Compound: MgMnCoCu
Source: Alexandria via LeMat-Bulk
Functional: PBE-GGA
Structure: optimized geometry

Cell and atoms, written as extended XYZ:
```
16
Lattice="5.976 0.000 0.000 0.000 5.976 0.000 0.000 0.000 5.976" Properties=species:S:1:pos:R:3 pbc="T T T"
Mg 0.000 0.000 0.000
Mg 0.000 2.988 2.988
Mg 2.988 0.000 2.988
Mg 2.988 2.988 0.000
Mn 0.000 0.000 2.988
Mn 0.000 2.988 0.000
Mn 2.988 0.000 0.000
Mn 2.988 2.988 2.988
Co 1.494 1.494 4.482
Co 1.494 4.482 1.494
Co 4.482 1.494 1.494
Co 4.482 4.482 4.482
Cu 1.494 1.494 1.494
Cu 1.494 4.482 4.482
Cu 4.482 1.494 4.482
Cu 4.482 4.482 1.494
```

As for the magnetization: 4.5 μB per formula unit. As for the formation enthalpy at 0 K: 0.09 eV/atom. As for the crystal system: cubic.


Record 15
Compound: ZnNiAu2
Source: Alexandria via LeMat-Bulk
Functional: PBE-GGA
Structure: optimized geometry

Cell and atoms, written as extended XYZ:
```
8
Lattice="2.804 0.000 0.000 0.000 4.656 0.000 0.000 0.000 10.533" Properties=species:S:1:pos:R:3 pbc="T T T"
Zn 0.000 0.000 0.000
Zn 1.402 2.328 5.267
Ni 0.000 0.000 5.267
Ni 1.402 2.328 0.000
Au 0.000 0.000 2.703
Au 0.000 0.000 7.831
Au 1.402 2.328 2.564
Au 1.402 2.328 7.969
```

As for the magnetization: 0.0 μB per formula unit. As for the formation enthalpy at 0 K: 0.22 eV/atom. As for the crystal system: orthorhombic.


Record 16
Compound: Pr5Ag2Sn2
Source: Alexandria via LeMat-Bulk
Functional: PBE-GGA
Structure: optimized geometry

Cell and atoms, written as extended XYZ:
```
18
Lattice="8.100 -4.170 0.000 8.100 4.170 0.000 0.000 0.000 8.282" Properties=species:S:1:pos:R:3 pbc="T T T"
Pr 0.000 0.000 0.000
Pr 5.865 2.733 5.527
Pr 5.865 1.437 1.385
Pr 10.334 2.733 5.527
Pr 10.334 1.437 1.385
Pr 8.100 0.000 4.141
Pr 5.865 -1.437 6.897
Pr 5.865 -2.733 2.756
Pr 10.334 -1.437 6.897
Pr 10.334 -2.733 2.756
Ag 8.100 3.138 3.104
Ag 8.100 1.032 7.246
Ag 8.100 -1.032 1.037
Ag 8.100 -3.138 5.178
Sn 3.321 0.000 0.000
Sn 4.778 0.000 4.141
Sn 11.421 0.000 4.141
Sn 12.878 0.000 0.000
```

As for the magnetization: 0.0 μB per formula unit. As for the formation enthalpy at 0 K: -0.41 eV/atom. As for the crystal system: orthorhombic.


Record 17
Compound: ZrTlSi2
Source: Alexandria via LeMat-Bulk
Functional: PBE-GGA
Structure: optimized geometry

Cell and atoms, written as extended XYZ:
```
8
Lattice="4.051 0.000 0.000 0.000 4.572 0.000 0.000 0.000 9.043" Properties=species:S:1:pos:R:3 pbc="T T T"
Zr 0.000 0.000 0.000
Zr 2.025 2.286 0.000
Tl 0.000 0.000 4.521
Tl 2.025 2.286 4.521
Si 0.000 2.286 1.943
Si 0.000 2.286 7.100
Si 2.025 0.000 1.943
Si 2.025 0.000 7.100
```

As for the magnetization: 0.0 μB per formula unit. The energy above the lowest structure with this stoichiometry comes out at 173.9 meV/atom. For the formation energy without anion corrections, the calculation gives 0.0766 eV/atom. As for the crystal system: orthorhombic.


Record 18
Compound: Ho3Bi2Se
Source: Alexandria via LeMat-Bulk
Functional: PBE-GGA
Structure: optimized geometry

Cell and atoms, written as extended XYZ:
```
24
Lattice="0.000 6.133 12.977 4.334 0.000 12.977 4.334 6.133 0.000" Properties=species:S:1:pos:R:3 pbc="T T T"
Ho 3.190 1.469 7.497
Ho 5.558 4.600 9.733
Ho 3.311 1.469 11.969
Ho 5.478 4.536 13.985
Ho 7.725 7.666 16.221
Ho 5.357 4.536 18.457
Ho 3.311 7.730 7.497
Ho 0.943 4.600 9.733
Ho 3.190 7.730 11.969
Ho 5.357 10.797 13.985
Ho 3.110 7.666 16.221
Ho 5.478 10.797 18.457
Bi 3.251 4.600 3.287
Bi 3.251 4.600 7.625
Bi 5.418 7.666 9.775
Bi 3.251 4.600 11.841
Bi 5.418 7.666 14.113
Bi 3.251 4.600 16.179
Bi 5.418 7.666 18.329
Bi 5.418 7.666 22.668
Se 1.084 1.533 1.081
Se 1.084 1.533 5.408
Se 7.585 10.733 20.546
Se 7.585 10.733 24.873
```

As for the magnetization: 0.0 μB per formula unit. The energy above the lowest structure with this stoichiometry comes out at 0.0 meV/atom. For the formation energy without anion corrections, the calculation gives -1.1134 eV/atom. As for the crystal system: orthorhombic.


Record 19
Compound: Cs2MoPtI6
Source: Alexandria via LeMat-Bulk
Functional: PBE-GGA
Structure: optimized geometry

Cell and atoms, written as extended XYZ:
```
10
Lattice="-3.974 3.974 6.410 3.974 -3.974 6.410 3.974 3.974 -6.410" Properties=species:S:1:pos:R:3 pbc="T T T"
Cs 3.974 0.000 3.205
Cs 0.000 3.974 3.205
Mo 0.000 0.000 0.000
Pt 0.000 0.000 6.410
I 0.000 0.000 2.812
I 2.055 2.055 0.000
I 1.919 -1.919 6.410
I -1.919 1.919 6.410
I 1.919 1.919 6.410
I 0.000 0.000 10.007
```

As for the magnetization: 3.6 μB per formula unit. For the formation energy without anion corrections, the calculation gives -0.5264 eV/atom. As for the crystal system: tetragonal.


Record 20
Compound: LiMnAl2
Source: Alexandria via LeMat-Bulk
Functional: PBE-GGA
Structure: optimized geometry

Cell and atoms, written as extended XYZ:
```
16
Lattice="6.155 0.000 0.000 0.000 6.155 0.000 0.000 0.000 6.155" Properties=species:S:1:pos:R:3 pbc="T T T"
Li 0.000 0.000 0.000
Li 0.000 3.077 3.077
Li 3.077 0.000 3.077
Li 3.077 3.077 0.000
Mn 1.539 1.539 1.539
Mn 1.539 4.616 4.616
Mn 4.616 1.539 4.616
Mn 4.616 4.616 1.539
Al 0.000 0.000 3.077
Al 0.000 3.077 0.000
Al 1.539 1.539 4.616
Al 1.539 4.616 1.539
Al 3.077 0.000 0.000
Al 3.077 3.077 3.077
Al 4.616 1.539 1.539
Al 4.616 4.616 4.616
```

As for the magnetization: 3.2 μB per formula unit. As for the formation enthalpy at 0 K: 0.00 eV/atom. As for the crystal system: cubic.


Computed calculated volume (Å³/cell) in order:
463.5; 209.7; 62.7; 114.4; 379.0; 461.9; 373.8; 124.7; 189.6; 108.3; 81.7; 126.8; 513.9; 213.4; 137.5; 559.5; 167.5; 689.9; 405.0; 233.2